1.
Compound: NdTcBr
Source: Alexandria
Functional: GGA-PBE
Structure: optimized geometry

The structure in CIF format:
```
data_NdTcBr
_cell_length_a 12.2892
_cell_length_b 12.2892
_cell_length_c 12.2892
_cell_angle_alpha 19.34
_cell_angle_beta 19.34
_cell_angle_gamma 19.34
_symmetry_space_group_name_H-M 'P 1'
_symmetry_Int_Tables_number 1
loop_
_symmetry_equiv_pos_as_xyz
'x,y,z'
loop_
_atom_site_label
_atom_site_type_symbol
_atom_site_fract_x
_atom_site_fract_y
_atom_site_fract_z
Nd1 Nd 0.0623 0.0623 0.0623
Nd2 Nd 0.9377 0.9377 0.9377
Tc1 Tc 0.3389 0.3389 0.3389
Tc2 Tc 0.6611 0.6611 0.6611
Br1 Br 0.2179 0.2179 0.2179
Br2 Br 0.7821 0.7821 0.7821
```

Calculated values
Raw total energy in eV per cell: -38.959

=====

2.
Compound: NdTcBr
Source: Alexandria
Functional: GGA-PBE
Structure: optimized geometry

The structure in CIF format:
```
data_NdTcBr
_cell_length_a 7.1471
_cell_length_b 4.1291
_cell_length_c 12.0755
_cell_angle_alpha 90.00
_cell_angle_beta 91.55
_cell_angle_gamma 90.00
_symmetry_space_group_name_H-M 'P 1'
_symmetry_Int_Tables_number 1
loop_
_symmetry_equiv_pos_as_xyz
'x,y,z'
loop_
_atom_site_label
_atom_site_type_symbol
_atom_site_fract_x
_atom_site_fract_y
_atom_site_fract_z
Nd1 Nd 0.0088 0.0000 0.1866
Nd2 Nd 0.4912 0.5000 0.8134
Nd3 Nd 0.5088 0.5000 0.1866
Nd4 Nd 0.9912 0.0000 0.8134
Tc1 Tc 0.1659 0.5000 0.9833
Tc2 Tc 0.3341 0.0000 0.0167
Tc3 Tc 0.6659 0.0000 0.9833
Tc4 Tc 0.8341 0.5000 0.0167
Br1 Br 0.1823 0.5000 0.3459
Br2 Br 0.3177 0.0000 0.6541
Br3 Br 0.6823 0.0000 0.3459
Br4 Br 0.8177 0.5000 0.6541
```

Calculated values
Raw total energy in eV per cell: -77.916

=====

3.
Compound: Nd5Tc2Br2
Source: Alexandria
Functional: GGA-PBE
Structure: optimized geometry

The structure in CIF format:
```
data_Nd5Tc2Br2
_cell_length_a 9.1233
_cell_length_b 9.1233
_cell_length_c 7.8498
_cell_angle_alpha 90.00
_cell_angle_beta 90.00
_cell_angle_gamma 53.14
_symmetry_space_group_name_H-M 'P 1'
_symmetry_Int_Tables_number 1
loop_
_symmetry_equiv_pos_as_xyz
'x,y,z'
loop_
_atom_site_label
_atom_site_type_symbol
_atom_site_fract_x
_atom_site_fract_y
_atom_site_fract_z
Nd1 Nd 0.0000 0.0000 0.0000
Nd2 Nd 0.0625 0.7040 0.6680
Nd3 Nd 0.2040 0.5625 0.1680
Nd4 Nd 0.2960 0.9375 0.6680
Nd5 Nd 0.4375 0.7960 0.1680
Nd6 Nd 0.5000 0.5000 0.5000
Nd7 Nd 0.5625 0.2040 0.8320
Nd8 Nd 0.7040 0.0625 0.3320
Nd9 Nd 0.7960 0.4375 0.8320
Nd10 Nd 0.9375 0.2960 0.3320
Tc1 Tc 0.1137 0.8863 0.3905
Tc2 Tc 0.3863 0.6137 0.8905
Tc3 Tc 0.6137 0.3863 0.1095
Tc4 Tc 0.8863 0.1137 0.6095
Br1 Br 0.2083 0.2083 0.0000
Br2 Br 0.2917 0.2917 0.5000
Br3 Br 0.7083 0.7083 0.5000
Br4 Br 0.7917 0.7917 0.0000
```

Calculated values
Raw total energy in eV per cell: -103.973

=====

| no. | E_form (uncorrected) (eV/f.u.) | DOS(E_F) (states/eV/cell) |
| --- | --- | --- |
| 1 | -2.67 | 3.19 |
| 2 | -2.67 | 6.36 |
| 3 | -4.07 | 14.41 |